## CdSiMo2 (PBE-GGA)

Data for an optimized crystal structure of CdSiMo2.

SG = Cmmm (65)
Total DFT energy (no corrections) = -6.8246 eV per atom
Energy relative to the elements, uncorrected = 0.175 eV/atom

a = 2.797 Å, b = 2.797 Å, c = 8.609 Å
α = 90.00°, β = 90.00°, γ = 105.98°
Fractional coordinates of all 4 atoms:
Cd (0.500, 0.500, 0.750)
Mo (0.000, 0.000, 0.033)
Mo (0.000, 0.000, 0.467)
Si (0.500, 0.500, 0.250)

## KScSi2 (PBE-GGA)

Data for an optimized crystal structure of KScSi2.

SG = I4_1/amd (141)
Total DFT energy (no corrections) = -4.3076 eV per atom
Energy relative to the elements, uncorrected = 0.261 eV/atom

a = 5.227 Å, b = 5.227 Å, c = 9.908 Å
α = 74.71°, β = 74.71°, γ = 90.00°
Fractional coordinates of all 8 atoms:
Sc (0.000, 0.000, 0.000)
Sc (0.750, 0.250, 0.500)
K (0.500, 0.500, 0.000)
K (0.250, 0.750, 0.500)
Si (0.876, 0.125, 0.250)
Si (0.874, 0.625, 0.250)
Si (0.375, 0.124, 0.750)
Si (0.875, 0.126, 0.750)

## Pr2Mg12In7 (PBE-GGA)

Data for an optimized crystal structure of Pr2Mg12In7.

SG = P-3 (147)
Total DFT energy (no corrections) = -2.4364 eV per atom

a = 4.517 Å, b = 11.642 Å, c = 11.642 Å
α = 120.00°, β = 90.00°, γ = 90.00°
Fractional coordinates of all 21 atoms:
Pr (0.264, 0.333, 0.667)
Pr (0.736, 0.667, 0.333)
Mg (0.250, 0.611, 0.039)
Mg (0.250, 0.428, 0.389)
Mg (0.250, 0.961, 0.572)
Mg (0.750, 0.389, 0.961)
Mg (0.750, 0.572, 0.611)
Mg (0.750, 0.039, 0.428)
Mg (0.247, 0.108, 0.268)
Mg (0.247, 0.160, 0.892)
Mg (0.247, 0.732, 0.840)
Mg (0.753, 0.892, 0.732)
Mg (0.753, 0.840, 0.108)
Mg (0.753, 0.268, 0.160)
In (0.500, 0.000, 0.000)
In (0.246, 0.860, 0.288)
In (0.246, 0.427, 0.140)
In (0.246, 0.712, 0.573)
In (0.754, 0.140, 0.712)
In (0.754, 0.573, 0.860)
In (0.754, 0.288, 0.427)

## Pr7Sm3Tl (PBE-GGA)

Data for an optimized crystal structure of Pr7Sm3Tl.

SG = P3m1 (156)
Total DFT energy (no corrections) = -4.4303 eV per atom

a = 8.766 Å, b = 7.196 Å, c = 7.196 Å
α = 120.00°, β = 90.00°, γ = 90.00°
Fractional coordinates of all 11 atoms:
Pr (0.120, 0.169, 0.831)
Pr (0.120, 0.169, 0.338)
Pr (0.110, 0.667, 0.333)
Pr (0.449, 0.831, 0.169)
Pr (0.449, 0.337, 0.169)
Pr (0.449, 0.831, 0.663)
Pr (0.120, 0.662, 0.831)
Sm (0.780, 0.500, 0.500)
Sm (0.780, 0.500, 0.001)
Sm (0.780, 0.999, 0.500)
Tl (0.458, 0.333, 0.667)

## Cs2HgGe2S6 (PBE-GGA)

Data for an optimized crystal structure of Cs2HgGe2S6.

SG = R-3m (166)
Total DFT energy (no corrections) = -3.7501 eV per atom
Energy relative to the elements, uncorrected = -0.477 eV/atom

a = 7.234 Å, b = 7.234 Å, c = 8.982 Å
α = 66.25°, β = 66.25°, γ = 60.00°
Fractional coordinates of all 11 atoms:
Cs (0.782, 0.782, 0.655)
Cs (0.218, 0.218, 0.345)
Hg (0.000, 0.000, 0.000)
Ge (0.408, 0.408, 0.776)
Ge (0.592, 0.592, 0.224)
S (0.756, 0.756, 0.243)
S (0.244, 0.756, 0.243)
S (0.756, 0.244, 0.243)
S (0.244, 0.756, 0.757)
S (0.756, 0.244, 0.757)
S (0.244, 0.244, 0.757)

## KRb2Na6Hg (PBE-GGA)

Data for an optimized crystal structure of KRb2Na6Hg.

SG = R-3m (166)
Total DFT energy (no corrections) = -1.1363 eV per atom

a = 8.654 Å, b = 8.654 Å, c = 16.491 Å
α = 74.79°, β = 74.79°, γ = 60.00°
Fractional coordinates of all 20 atoms:
K (0.573, 0.573, 0.280)
K (0.427, 0.427, 0.720)
Rb (0.901, 0.901, 0.297)
Rb (0.099, 0.099, 0.703)
Rb (0.725, 0.725, 0.825)
Rb (0.275, 0.275, 0.175)
Na (0.916, 0.323, 0.438)
Na (0.323, 0.916, 0.438)
Na (0.323, 0.323, 0.438)
Na (0.084, 0.677, 0.562)
Na (0.677, 0.084, 0.562)
Na (0.677, 0.677, 0.562)
Na (0.644, 0.214, 0.928)
Na (0.214, 0.644, 0.928)
Na (0.214, 0.214, 0.928)
Na (0.356, 0.786, 0.072)
Na (0.786, 0.356, 0.072)
Na (0.786, 0.786, 0.072)
Hg (0.000, 0.000, 0.000)
Hg (0.500, 0.500, 0.500)

## CsScSeI2 (PBE-GGA)

Data for an optimized crystal structure of CsScSeI2.

SG = P4/mmm (123)
Total DFT energy (no corrections) = -4.1093 eV per atom
Energy relative to the elements, uncorrected = -1.355 eV/atom

a = 6.056 Å, b = 5.140 Å, c = 6.056 Å
α = 90.00°, β = 90.00°, γ = 90.00°
Fractional coordinates of all 5 atoms:
Cs (0.500, 0.500, 0.500)
I (0.000, 0.000, 0.500)
I (0.500, 0.000, 0.000)
Sc (0.000, 0.000, 0.000)
Se (0.000, 0.500, 0.000)

## Nd6SmY2Mg (PBE-GGA)

Data for an optimized crystal structure of Nd6SmY2Mg.

SG = C2/c (15)
Total DFT energy (no corrections) = -4.6825 eV per atom

a = 9.503 Å, b = 8.658 Å, c = 8.658 Å
α = 105.36°, β = 96.52°, γ = 96.52°
Fractional coordinates of all 20 atoms:
Nd (0.077, 0.078, 0.739)
Nd (0.423, 0.261, 0.922)
Nd (0.923, 0.922, 0.261)
Nd (0.577, 0.739, 0.078)
Nd (0.329, 0.036, 0.464)
Nd (0.171, 0.536, 0.964)
Nd (0.671, 0.964, 0.536)
Nd (0.829, 0.464, 0.036)
Nd (0.096, 0.673, 0.433)
Nd (0.404, 0.567, 0.327)
Nd (0.904, 0.327, 0.567)
Nd (0.596, 0.433, 0.673)
Sm (0.250, 0.932, 0.068)
Sm (0.750, 0.068, 0.932)
Y (0.403, 0.800, 0.734)
Y (0.097, 0.266, 0.200)
Y (0.597, 0.200, 0.266)
Y (0.903, 0.734, 0.800)
Mg (0.250, 0.403, 0.597)
Mg (0.750, 0.597, 0.403)